[1]
7
Lattice="5.650 0.000 0.000 2.825 4.893 0.000 2.825 1.631 8.121" Properties=species:S:1:pos:R:3 comment="PBE Tb2DyY2Er2, relaxed" magmom_total_mub_per_fu=0.0 spacegroup=R-3m e_tot_ev_per_atom=-4.99 pbc="T T T"
Tb 8.475 4.893 6.951
Tb 2.825 1.631 1.170
Dy 0.000 0.000 0.000
Y 2.825 1.631 4.670
Y 8.475 4.893 3.450
Er 5.650 3.262 2.332
Er 5.650 3.262 5.789

[2]
9
Lattice="-2.916 1.995 0.579 -2.768 -5.087 -7.491 -1.208 -4.213 8.432" Properties=species:S:1:pos:R:3 comment="PBE Tb4Dy2YEr2, relaxed" magmom_total_mub_per_fu=0.0 spacegroup=C2/m e_tot_ev_per_atom=-4.81 pbc="T T T"
Tb -4.924 -4.385 1.380
Tb -1.970 -2.920 0.140
Tb -2.021 -0.566 2.843
Tb -4.872 -6.738 -1.324
Dy -4.831 -3.276 -1.977
Dy -2.062 -4.029 3.497
Y 0.000 0.000 0.000
Er -2.812 -2.721 -4.791
Er -4.081 -4.583 6.310

[3]
12
Lattice="-5.554 -1.068 -0.751 4.933 -5.262 -7.328 0.465 -5.399 4.240" Properties=species:S:1:pos:R:3 comment="PBE Tb3DyYEr, relaxed" magmom_total_mub_per_fu=0.0 spacegroup=C2/m e_tot_ev_per_atom=-4.71 pbc="T T T"
Tb -1.204 -5.836 -4.470
Tb -1.213 -7.856 -1.525
Tb 2.194 -6.956 -6.331
Tb 1.058 -3.873 -2.313
Tb -2.349 -4.773 2.493
Tb 1.048 -5.893 0.632
Dy 0.359 -2.037 0.242
Dy -0.515 -9.692 -4.080
Y 1.976 -9.351 -1.317
Y -2.132 -2.378 -2.522
Er -1.922 -4.779 -0.663
Er 1.766 -6.950 -3.175

[4]
12
Lattice="-5.590 2.547 -0.367 0.718 -5.449 2.767 3.397 6.333 9.321" Properties=species:S:1:pos:R:3 comment="PBE Tb6Dy3Y2Er, relaxed" magmom_total_mub_per_fu=0.0 spacegroup=C2/m e_tot_ev_per_atom=-4.91 pbc="T T T"
Tb -2.155 3.901 8.267
Tb -2.810 -0.595 4.138
Tb 0.680 -0.470 3.455
Tb -0.058 1.243 9.309
Tb 1.336 4.026 7.584
Tb -1.417 2.189 2.413
Dy 1.366 -0.950 6.906
Dy -2.840 4.381 4.816
Dy -0.737 1.716 5.861
Y -1.385 -2.783 1.722
Y -3.487 -0.119 0.678
Er 0.000 0.000 0.000

[5]
9
Lattice="-0.978 -0.097 -3.428 -8.296 -1.424 4.261 2.539 9.071 -0.980" Properties=species:S:1:pos:R:3 comment="PBE Tb2Dy2YEr4, relaxed" magmom_total_mub_per_fu=0.0 spacegroup=C2/m e_tot_ev_per_atom=-4.80 pbc="T T T"
Tb -5.825 1.950 -0.248
Tb -0.909 5.601 0.101
Dy -3.316 8.083 0.718
Dy -3.418 -0.533 -0.865
Y 0.000 0.000 0.000
Er -4.328 5.059 -0.763
Er -2.406 2.492 0.616
Er 0.027 2.933 -1.945
Er -6.761 4.617 1.798

[6]
12
Lattice="6.116 0.002 -0.001 -3.055 5.299 -0.001 -1.013 -1.755 11.517" Properties=species:S:1:pos:R:3 comment="PBE Tb3Dy2YEr6, relaxed" magmom_total_mub_per_fu=0.0 spacegroup=C2/m e_tot_ev_per_atom=-4.72 pbc="T T T"
Tb -2.034 3.539 5.757
Tb 4.082 0.007 5.757
Tb 1.024 1.773 5.757
Dy 0.002 3.533 -0.001
Dy 3.059 1.768 -0.001
Y 0.000 0.000 0.000
Er 3.066 1.772 8.638
Er 2.041 3.534 2.876
Er -1.018 1.774 2.877
Er 0.003 3.541 8.638
Er 0.007 0.012 8.638
Er 2.045 0.005 2.877

[7]
12
Lattice="-2.714 -2.462 -3.436 3.808 -5.343 4.494 -7.797 -0.235 6.327" Properties=species:S:1:pos:R:3 comment="PBE TbDyY3Er, relaxed" magmom_total_mub_per_fu=0.0 spacegroup=Cmcm e_tot_ev_per_atom=-5.51 pbc="T T T"
Tb -3.899 -0.117 3.164
Tb 0.000 0.000 0.000
Dy -3.401 -6.742 7.517
Dy -3.303 -1.298 -0.133
Y -4.439 -3.534 2.366
Y -2.265 -4.506 5.018
Y -6.159 -4.624 8.178
Y -0.545 -3.417 -0.794
Y -5.031 -2.368 5.671
Y -1.673 -5.673 1.714
Er -5.567 -5.802 4.883
Er -1.137 -2.239 2.502

[8]
12
Lattice="6.149 0.002 0.004 -3.071 5.328 0.004 -1.028 -1.779 11.596" Properties=species:S:1:pos:R:3 comment="PBE TbDy3Y6Er2, relaxed" magmom_total_mub_per_fu=0.0 spacegroup=C2/m e_tot_ev_per_atom=-5.51 pbc="T T T"
Tb 0.000 0.000 0.000
Dy -2.047 3.550 5.802
Dy 4.098 0.001 5.802
Dy 1.025 1.775 5.802
Y 3.075 1.773 8.707
Y 2.052 3.552 2.900
Y -1.024 1.778 2.897
Y -0.001 3.549 8.707
Y -0.001 -0.002 8.704
Y 2.051 0.001 2.897
Er 0.002 3.553 0.004
Er 3.076 1.777 0.004

[9]
12
Lattice="6.129 0.002 0.011 -3.061 5.309 0.011 -1.038 -1.797 11.543" Properties=species:S:1:pos:R:3 comment="PBE TbDy6Y2Er3, relaxed" magmom_total_mub_per_fu=0.0 spacegroup=C2/m e_tot_ev_per_atom=-4.89 pbc="T T T"
Tb 0.000 0.000 0.000
Dy 3.050 1.751 8.652
Dy 2.045 3.540 2.924
Dy -1.021 1.763 2.913
Dy -0.007 3.517 8.652
Dy -0.015 -0.026 8.641
Dy 2.037 -0.003 2.913
Y 0.002 3.540 0.011
Y 3.065 1.771 0.011
Er -2.047 3.525 5.783
Er 4.076 -0.011 5.783
Er 1.015 1.757 5.783

[10]
9
Lattice="3.580 0.000 0.000 -1.790 9.288 -0.489 0.000 -3.678 8.776" Properties=species:S:1:pos:R:3 comment="PBE Tb2Dy4Y2Er, relaxed" magmom_total_mub_per_fu=0.0 spacegroup=C2/m e_tot_ev_per_atom=-5.02 pbc="T T T"
Tb 0.000 2.526 8.444
Tb 1.790 3.085 -0.157
Dy 1.790 3.403 5.538
Dy 0.000 2.208 2.749
Dy 1.790 -0.878 2.901
Dy 0.000 6.488 5.386
Y 1.790 5.316 2.591
Y 0.000 0.294 5.697
Er 0.000 0.000 0.000

[11]
12
Lattice="-4.812 2.589 2.811 2.431 -5.184 2.229 7.985 7.072 4.929" Properties=species:S:1:pos:R:3 comment="PBE Tb6Dy3YEr2, relaxed" magmom_total_mub_per_fu=0.0 spacegroup=C2/m e_tot_ev_per_atom=-4.75 pbc="T T T"
Tb 2.997 4.660 7.571
Tb 0.210 -0.179 5.008
Tb 2.607 -0.184 2.398
Tb 5.418 2.062 7.377
Tb 5.395 4.656 4.961
Tb 0.187 2.414 2.592
Dy 5.216 -0.353 4.791
Dy 0.388 4.829 5.178
Dy 2.802 2.238 4.984
Y 0.000 0.000 0.000
Er 0.017 -2.593 2.423
Er -2.398 -0.002 2.617

[12]
12
Lattice="-4.530 2.906 1.816 3.191 -5.304 7.566 4.271 5.440 1.950" Properties=species:S:1:pos:R:3 comment="PBE TbDyYEr3, relaxed" magmom_total_mub_per_fu=0.0 spacegroup=C2/m e_tot_ev_per_atom=-4.68 pbc="T T T"
Tb 1.157 1.037 1.227
Tb 1.775 2.005 10.104
Dy -0.029 2.808 4.317
Dy 2.962 0.234 7.014
Y 4.764 2.523 7.846
Y -1.831 0.519 3.485
Er -0.565 0.270 7.041
Er 1.462 3.357 7.159
Er 1.973 -2.287 8.582
Er 1.470 -0.315 4.172
Er 0.960 5.330 2.749
Er 3.498 2.772 4.290